This record from Alexandria describes a relaxed structure of Pm2ThMg2In2. The functional is PBE.

For the formation energy, the calculation gives -0.186 eV per atom. For the calculated total energy, the calculation gives -3.84 eV/atom. The value obtained for the spin magnetization is 0.00 μB per cell. As for the symmetry: R-3m, No. 166.

```
7
Lattice="-1.8296 3.4790 -3.1851 0.9046 -0.3889 -4.9624 -7.7666 -3.7911 -3.6976" Properties=species:S:1:pos:R:3 pbc="T T T"
Pm -4.8796 -1.9249 -3.3176
Pm -3.8119 1.2238 -8.5275
Th 0.0000 0.0000 0.0000
Mg -2.1465 1.0711 -5.6331
Mg -6.5450 -1.7721 -6.2121
In -6.8505 -0.7403 -8.9275
In -1.8410 0.0393 -2.9176
```